[1]
## Bi6Ir2Rh (GGA-PBE)

Data for Bi6Ir2Rh after structural relaxation.

Calculated values
Space-group type: P2_1/c
Calculated total energy in eV per cell: -96.0
Calculated formation energy in eV per atom: 0.0416

abc: 6.7542 6.7150 11.8181
angles: 90.00 120.29 90.00
Closest atoms and distances in Å follow each position.
Fractional positions:
Bi 0.1115 0.0327 0.2578  1 Rh 2.75, 2 Ir 2.77
Bi 0.1115 0.4673 0.7578  1 Rh 2.75, 2 Ir 2.77
Bi 0.2523 0.1297 0.6131  1 Rh 2.76, 2 Ir 2.83-2.90
Bi 0.2523 0.3703 0.1131  1 Rh 2.76, 2 Ir 2.83-2.90
Bi 0.3604 0.6432 0.5617  1 Rh 2.80, 2 Ir 2.83-2.94
Bi 0.3604 0.8568 0.0617  1 Rh 2.80, 2 Ir 2.83-2.94
Bi 0.6396 0.1432 0.9383  1 Rh 2.80, 2 Ir 2.83-2.94
Bi 0.6396 0.3568 0.4383  1 Rh 2.80, 2 Ir 2.83-2.94
Bi 0.7477 0.6297 0.8869  1 Rh 2.76, 2 Ir 2.83-2.90
Bi 0.7477 0.8703 0.3869  1 Rh 2.76, 2 Ir 2.83-2.90
Bi 0.8885 0.5327 0.2422  1 Rh 2.75, 2 Ir 2.77
Bi 0.8885 0.9673 0.7422  1 Rh 2.75, 2 Ir 2.77
Ir 0.3191 0.6627 0.3019  6 Bi 2.77-2.94, 1 Rh 3.04
Ir 0.3191 0.8373 0.8019  6 Bi 2.77-2.94, 1 Rh 3.04
Ir 0.6809 0.1627 0.1981  6 Bi 2.77-2.94, 1 Rh 3.04
Ir 0.6809 0.3373 0.6981  6 Bi 2.77-2.94, 1 Rh 3.04
Rh 0.5000 0.0000 0.5000  6 Bi 2.75-2.80, 2 Ir 3.04
Rh 0.5000 0.5000 0.0000  6 Bi 2.75-2.80, 2 Ir 3.04


[2]
## Bi3IrRh (GGA-PBE)

Data for Bi3IrRh after structural relaxation.

Calculated values
Space-group type: Pm-3m
Calculated total energy in eV per cell: -23.5
Calculated formation energy in eV per atom: 0.8637
ΔE to the lowest computed polymorph in eV per atom: 0.8542

abc: 5.1694 5.1694 5.1694
angles: 90.00 90.00 90.00
Closest atoms and distances in Å follow each position.
Fractional positions:
Bi 0.0000 0.0000 0.5000  2 Rh 2.58
Bi 0.0000 0.5000 0.0000  2 Rh 2.58
Bi 0.5000 0.0000 0.0000  2 Rh 2.58
Ir 0.5000 0.5000 0.5000  12 Bi 3.66
Rh 0.0000 0.0000 0.0000  6 Bi 2.58


Which value of calculated total energy does entry 1 give?
-96.0 eV per cell


The highest calculated total energy belongs to which entry?
Bi3IrRh


What is the formula in the second record?
Bi3IrRh


What is the formula in the second record?
Bi3IrRh